[1]
Entry from Alexandria via LeMat-Bulk: a crystal of BaCd2Rh2 relaxed with PBEsol (SCAN).

Lattice parameters (Å, degrees): 4.4640 4.4640 11.1513 90.00 90.00 90.00
Closest atoms and distances in Å follow each position.
Space group I4/mmm (No. 139)
Symmetry-distinct sites (fractional):
Ba  0.0000  0.0000  0.0000 x2  8 Rh 3.38, 8 Cd 3.57
Cd  0.0000  0.5000  0.2500 x4  4 Rh 2.73
Rh  0.0000  0.0000  0.3908 x4  1 Rh 2.44

Results
The value obtained for the formation energy is -4.424 kcal/mol of atoms. Its electronic total energy is -337.76 eV/cell.


[2]
Entry from Alexandria via LeMat-Bulk: a crystal of BaCd3Rh relaxed with PBEsol (SCAN).

Lattice parameters (Å, degrees): 5.1546 5.1546 5.1546 90.00 90.00 90.00
Closest atoms and distances in Å follow each position.
Space group Pm-3m (No. 221)
Symmetry-distinct sites (fractional):
Ba  0.0000  0.0000  0.0000 x1  12 Cd 3.64
Cd  0.0000  0.5000  0.5000 x3  2 Rh 2.58
Rh  0.5000  0.5000  0.5000 x1  6 Cd 2.58

Results
The value obtained for the formation energy is -6.744 kcal/mol of atoms. Its electronic total energy is -166.03 eV/cell.


[3]
Entry from Alexandria via LeMat-Bulk: a crystal of BaCd2Rh relaxed with PBEsol (SCAN).

Lattice parameters (Å, degrees): 4.6226 4.6226 17.2936 90.00 90.00 120.00
Closest atoms and distances in Å follow each position.
Space group R-3m (No. 166, hexagonal axes)
Symmetry-distinct sites (fractional):
Ba  0.0000  0.0000  0.0000 x3  8 Cd 3.48-3.51
Cd  0.0000  0.0000  0.2015 x6  3 Rh 2.74, 3 Cd 2.93
Rh  0.0000  0.0000  0.5000 x3  6 Cd 2.74

Results
The value obtained for the formation energy is -5.495 kcal/mol of atoms. Its electronic total energy is -405.31 eV/cell.


[4]
Entry from Alexandria via LeMat-Bulk: a crystal of BaCd2Rh relaxed with PBEsol (SCAN).

Lattice parameters (Å, degrees): 4.6970 4.6970 16.7236 90.00 90.00 120.00
Closest atoms and distances in Å follow each position.
Space group R3m (No. 160, hexagonal axes)
Symmetry-distinct sites (fractional):
Ba  0.0000  0.0000  0.0000 x3  1 Rh 3.15, 1 Cd 3.30
Cd  0.0000  0.0000  0.1976 x3  3 Rh 2.85, 3 Cd 2.86
Cd  0.0000  0.0000  0.4767 x3  3 Rh 2.71, 3 Cd 2.86
Rh  0.0000  0.0000  0.8118 x3  6 Cd 2.71-2.85

Results
The value obtained for the formation energy is -6.234 kcal/mol of atoms. Its electronic total energy is -405.70 eV/cell.


[5]
Entry from Alexandria via LeMat-Bulk: a crystal of Ba2CdSnRh relaxed with PBEsol (SCAN).

Lattice parameters (Å, degrees): 5.9293 5.9293 5.0419 90.00 90.00 90.00
Closest atoms and distances in Å follow each position.
Space group P4/mmm (No. 123)
Symmetry-distinct sites (fractional):
Ba  0.0000  0.5000  0.0000 x2  2 Rh 2.96
Cd  0.0000  0.0000  0.5000 x1  8 Ba 3.89, 4 Sn 4.19
Sn  0.5000  0.5000  0.5000 x1  2 Rh 2.52
Rh  0.5000  0.5000  0.0000 x1  2 Sn 2.52

Results
The value obtained for the formation energy is -9.443 kcal/mol of atoms. Its electronic total energy is -181.25 eV/cell.


[6]
Entry from Alexandria via LeMat-Bulk: a crystal of BaCd2Ru relaxed with PBEsol (SCAN).

Lattice parameters (Å, degrees): 3.3294 4.3774 14.0458 90.00 90.00 90.00
Closest atoms and distances in Å follow each position.
Space group Imm2 (No. 44)
Symmetry-distinct sites (fractional):
Ba  0.0000  0.0000  0.0000 x2  2 Ru 3.05, 2 Ba 3.33
Cd  0.0000  0.0000  0.6622 x2  2 Ru 2.75, 2 Cd 2.98
Cd  0.0000  0.5000  0.8061 x2  4 Ru 2.75, 2 Cd 2.98
Ru  0.0000  0.5000  0.3178 x2  6 Cd 2.75, 2 Ba 3.05

Results
The value obtained for the formation energy is 4.906 kcal/mol of atoms. Its electronic total energy is -268.71 eV/cell.


[7]
Entry from Alexandria via LeMat-Bulk: a crystal of BaCdRu relaxed with PBEsol (SCAN).

Lattice parameters (Å, degrees): 6.7838 6.7838 6.7838 90.00 90.00 90.00
Closest atoms and distances in Å follow each position.
Space group F-43m (No. 216)
Symmetry-distinct sites (fractional):
Ba  0.0000  0.0000  0.0000 x4  4 Ru 2.94
Cd  0.0000  0.0000  0.5000 x4  4 Ru 2.94
Ru  0.2500  0.2500  0.2500 x4  4 Cd 2.94, 4 Ba 2.94

Results
The value obtained for the formation energy is 12.452 kcal/mol of atoms. Its electronic total energy is -412.68 eV/cell.


[8]
Entry from Alexandria via LeMat-Bulk: a crystal of BaCd2Ru relaxed with PBEsol (SCAN).

Lattice parameters (Å, degrees): 3.1290 3.1290 31.2434 90.00 90.00 120.00
Closest atoms and distances in Å follow each position.
Space group R-3m (No. 166, hexagonal axes)
Symmetry-distinct sites (fractional):
Ba  0.0000  0.0000  0.0000 x3  6 Ba 3.13
Cd  0.0000  0.0000  0.2350 x6  3 Ru 2.80, 6 Cd 3.13
Ru  0.0000  0.0000  0.5000 x3  6 Cd 2.80, 6 Ru 3.13

Results
The value obtained for the formation energy is 13.436 kcal/mol of atoms. Its electronic total energy is -398.62 eV/cell.


[9]
Entry from Alexandria via LeMat-Bulk: a crystal of BaCd2Ru relaxed with PBEsol (SCAN).

Lattice parameters (Å, degrees): 4.3447 3.9145 11.9312 90.00 90.00 90.00
Closest atoms and distances in Å follow each position.
Space group Amm2 (No. 38)
Symmetry-distinct sites (fractional):
Ba  0.0000  0.0000  0.0000 x2  4 Ru 3.16, 3 Cd 3.24-3.36
Cd  0.0000  0.0000  0.2711 x2  2 Ru 2.66, 4 Cd 2.97
Cd  0.5000  0.0000  0.7287 x2  2 Ru 2.83, 4 Cd 2.97
Ru  0.5000  0.0000  0.4001 x2  4 Cd 2.66-2.83

Results
The value obtained for the formation energy is 8.066 kcal/mol of atoms. Its electronic total energy is -267.61 eV/cell.


[10]
Entry from Alexandria via LeMat-Bulk: a crystal of BaCd2TcRu relaxed with PBEsol (SCAN).

Lattice parameters (Å, degrees): 5.6519 5.6519 4.9340 90.00 90.00 90.00
Closest atoms and distances in Å follow each position.
Space group P4/mmm (No. 123)
Symmetry-distinct sites (fractional):
Ba  0.0000  0.0000  0.0000 x1  2 Tc 2.47
Cd  0.0000  0.5000  0.0000 x2  2 Ba 2.83
Tc  0.0000  0.0000  0.5000 x1  2 Ba 2.47
Ru  0.5000  0.5000  0.5000 x1  8 Cd 3.75, 4 Tc 4.00

Results
The value obtained for the formation energy is 57.905 kcal/mol of atoms. Its electronic total energy is -157.71 eV/cell.


[11]
Entry from Alexandria via LeMat-Bulk: a crystal of Ba2CdSeS relaxed with PBEsol (SCAN).

Lattice parameters (Å, degrees): 6.2355 6.2355 4.8873 90.00 90.00 90.00
Closest atoms and distances in Å follow each position.
Space group P4/mmm (No. 123)
Symmetry-distinct sites (fractional):
Ba  0.0000  0.5000  0.0000 x2  2 Cd 3.12
Cd  0.0000  0.0000  0.0000 x1  2 Se 2.44
Se  0.0000  0.0000  0.5000 x1  2 Cd 2.44
S  0.5000  0.5000  0.5000 x1  8 Ba 3.96, 4 Se 4.41

Results
Its electronic total energy is -142.76 eV/cell. Its formation energy from raw total energies is -0.7086 eV per atom.


[12]
Entry from Alexandria via LeMat-Bulk: a crystal of Ba3CdSn2S8 relaxed with PBEsol (SCAN).

Lattice parameters (Å, degrees): 14.6428 14.6428 14.7193 90.00 90.00 90.00
Closest atoms and distances in Å follow each position.
Space group I-42d (No. 122)
Symmetry-distinct sites (fractional):
Ba  0.0000  0.0000  0.1419 x8  8 S 3.11-3.46
Ba  0.0163  0.7500  0.6250 x8  8 S 3.15-3.46
Ba  0.2294  0.2500  0.1250 x8  6 S 3.13-3.30
Cd  0.1279  0.7500  0.1250 x8  4 S 2.53-2.55
Sn  0.0158  0.2219  0.3558 x16  4 S 2.36-2.46
S  0.0659  0.6651  0.2628 x16  1 Sn 2.46, 1 Cd 2.55
S  0.0923  0.6446  0.8033 x16  1 Sn 2.36
S  0.1088  0.1835  0.7924 x16  1 Sn 2.45, 1 Cd 2.53
S  0.1120  0.1348  0.2608 x16  1 Sn 2.36

Results
Its electronic total energy is -2538.08 eV/cell. Its formation energy from raw total energies is -1.3806 eV per atom.


[13]
Entry from Alexandria via LeMat-Bulk: a crystal of BaCdSnS4 relaxed with PBEsol (SCAN).

Lattice parameters (Å, degrees): 21.5003 21.8631 13.0485 90.00 90.00 90.00
Closest atoms and distances in Å follow each position.
Space group Fdd2 (No. 43)
Symmetry-distinct sites (fractional):
Ba  0.0000  0.0000  0.0000 x8  8 S 3.20-3.27
Ba  0.0000  0.0000  0.4964 x8  8 S 3.20-3.27
Ba  0.0010  0.2523  0.9986 x16  8 S 3.20-3.29
Cd  0.0731  0.1253  0.7140 x16  4 S 2.47-2.59
Cd  0.1132  0.1241  0.2466 x16  4 S 2.46-2.58
Sn  0.0676  0.3747  0.7869 x16  4 S 2.38-2.43
Sn  0.1128  0.3756  0.2454 x16  4 S 2.38-2.43
S  0.0308  0.1243  0.3779 x16  1 Sn 2.43, 1 Cd 2.46
S  0.0328  0.3765  0.1197 x16  1 Sn 2.38, 1 Cd 2.59
S  0.0388  0.3735  0.6105 x16  1 Sn 2.38, 1 Cd 2.58
S  0.0417  0.1258  0.8957 x16  1 Sn 2.43, 1 Cd 2.47
S  0.1199  0.2897  0.3608 x16  1 Sn 2.41, 1 Cd 2.58
S  0.1205  0.4600  0.3639 x16  1 Sn 2.41, 1 Cd 2.58
S  0.1215  0.4607  0.8609 x16  1 Sn 2.41, 1 Cd 2.59
S  0.1216  0.2894  0.8633 x16  1 Sn 2.41, 1 Cd 2.58

Results
Its electronic total energy is -4877.56 eV/cell. Its formation energy from raw total energies is -1.1466 eV per atom.


[14]
Entry from Alexandria via LeMat-Bulk: a crystal of BaCdSb2 relaxed with PBEsol (SCAN).

Lattice parameters (Å, degrees): 4.0788 4.0788 7.3098 90.00 90.00 90.00
Closest atoms and distances in Å follow each position.
Space group P4mm (No. 99)
Symmetry-distinct sites (fractional):
Ba  0.0000  0.0000  0.0000 x1  6 Sb 3.53-3.78, 4 Cd 3.57
Cd  0.5000  0.5000  0.2888 x1  1 Sb 2.92
Sb  0.0000  0.0000  0.5173 x1  4 Sb 3.14, 4 Cd 3.33
Sb  0.5000  0.5000  0.6885 x1  1 Cd 2.92, 4 Sb 3.14

Results
Its electronic total energy is -145.94 eV/cell. Its formation energy from raw total energies is -0.3628 eV per atom.


[15]
Entry from Alexandria via LeMat-Bulk: a crystal of BaCd2Sb2 relaxed with PBEsol (SCAN).

Lattice parameters (Å, degrees): 4.7721 4.7721 7.9851 90.00 90.00 120.00
Closest atoms and distances in Å follow each position.
Space group P-3m1 (No. 164)
Symmetry-distinct sites (fractional):
Ba  0.0000  0.0000  0.0000 x1  6 Sb 3.46
Cd  0.3333  0.6667  0.3669 x2  4 Sb 2.88-2.96
Sb  0.3333  0.6667  0.7373 x2  4 Cd 2.88-2.96

Results
Its electronic total energy is -178.03 eV/cell. Its formation energy from raw total energies is -0.6258 eV per atom.


[16]
Entry from Alexandria via LeMat-Bulk: a crystal of Ba2Cd2Sb3 relaxed with PBEsol (SCAN).

Lattice parameters (Å, degrees): 17.9516 4.8267 13.3674 90.00 127.05 90.00
Closest atoms and distances in Å follow each position.
Space group C2/m (No. 12)
Symmetry-distinct sites (fractional):
Ba  0.1000  0.0000  0.4414 x4  7 Sb 3.51-3.73, 3 Cd 3.64-3.75
Ba  0.2367  0.0000  0.8382 x4  6 Sb 3.43-3.47
Cd  0.0434  0.5000  0.8091 x4  4 Sb 2.88-2.94
Cd  0.0917  0.0000  0.1540 x4  4 Sb 2.88-3.01
Sb  0.0832  0.5000  0.6254 x4  1 Sb 2.84, 1 Cd 2.94
Sb  0.1123  0.0000  0.9565 x4  4 Cd 2.88-3.01
Sb  0.1552  0.5000  0.3042 x4  3 Cd 2.90-2.92

Results
Its electronic total energy is -1029.02 eV/cell. Its formation energy from raw total energies is -0.7920 eV per atom.


[17]
Entry from Alexandria via LeMat-Bulk: a crystal of BaCdSb relaxed with PBEsol (SCAN).

Lattice parameters (Å, degrees): 4.8183 4.8183 4.9025 90.00 90.00 120.00
Closest atoms and distances in Å follow each position.
Space group P3m1 (No. 156)
Symmetry-distinct sites (fractional):
Ba  0.0000  0.0000  0.0000 x1  6 Cd 3.51-3.92, 6 Sb 3.60-3.82
Cd  0.3333  0.6667  0.5623 x1  3 Sb 2.82
Sb  0.6667  0.3333  0.4653 x1  3 Cd 2.82

Results
Its electronic total energy is -109.43 eV/cell. Its formation energy from raw total energies is -0.7344 eV per atom.


[18]
Entry from Alexandria via LeMat-Bulk: a crystal of BaCdSb2 relaxed with PBEsol (SCAN).

Lattice parameters (Å, degrees): 4.5268 4.5268 24.0867 90.00 90.00 90.00
Closest atoms and distances in Å follow each position.
Space group I4/mmm (No. 139)
Symmetry-distinct sites (fractional):
Ba  0.0000  0.0000  0.1134 x4  8 Sb 3.51-3.55
Cd  0.0000  0.5000  0.2500 x4  4 Sb 2.92, 4 Cd 3.20
Sb  0.0000  0.0000  0.3268 x4  4 Cd 2.92
Sb  0.0000  0.5000  0.0000 x4  4 Sb 3.20, 4 Ba 3.55

Results
Its electronic total energy is -589.05 eV/cell. Its formation energy from raw total energies is -0.6941 eV per atom.


[19]
Entry from Alexandria via LeMat-Bulk: a crystal of BaCd2Sb2 relaxed with PBEsol (SCAN).

Lattice parameters (Å, degrees): 4.5248 4.5248 14.4842 90.00 90.00 90.00
Closest atoms and distances in Å follow each position.
Space group I4/mmm (No. 139)
Symmetry-distinct sites (fractional):
Ba  0.0000  0.0000  0.0000 x2  8 Sb 3.65
Cd  0.0000  0.5000  0.2500 x4  4 Sb 2.93, 4 Cd 3.20
Sb  0.0000  0.0000  0.3787 x4  4 Cd 2.93

Results
Its electronic total energy is -355.55 eV/cell. Its formation energy from raw total energies is -0.5753 eV per atom.


[20]
Entry from Alexandria via LeMat-Bulk: a crystal of BaSc2Cd relaxed with PBEsol (SCAN).

Lattice parameters (Å, degrees): 12.3828 3.6600 5.3120 90.00 115.18 90.00
Closest atoms and distances in Å follow each position.
Space group Cm (No. 8)
Symmetry-distinct sites (fractional):
Ba  0.0000  0.0000  0.0000 x2  6 Sc 3.27-3.57, 2 Cd 3.37
Sc  0.2128  0.0000  0.7119 x2  4 Cd 3.25-3.26, 2 Sc 3.42, 2 Ba 3.57
Sc  0.4547  0.0000  0.4551 x2  2 Cd 2.91
Cd  0.2522  0.5000  0.2519 x2  6 Sc 2.91-3.26

Results
The value obtained for the formation energy is 3.481 kcal/mol of atoms. Its electronic total energy is -195.67 eV/cell.